No. 1
## Hf3Ni3As4Pd (GGA-PBE)

Data for an optimized crystal structure of Hf3Ni3As4Pd.

For the total energy, the calculation gives -7.151 eV/atom. As for the crystal system: monoclinic. The value obtained for the density is 10.10 g cm⁻³. The energy above the most stable polymorph in this dataset comes out at 0.01 eV per formula unit. The calculation puts the total moment at 0.000 μB per atom.

The structure belongs to space group Pm (No. 6); the cell edges are 6.5145, 3.8212 and 7.3839 Å and the angles 90.00°, 90.16° and 90.00°. The asymmetric unit holds Hf at (0.0000, 0.0000, 0.0000), Hf at (0.0674, 0.5000, 0.3803), Hf at (0.5140, 0.0000, 0.8739), Ni at (0.1603, 0.5000, 0.7477), Ni at (0.6990, 0.5000, 0.1267), Ni at (0.9155, 0.0000, 0.6292), As at (0.2935, 0.5000, 0.0530), As at (0.2941, 0.0000, 0.5807), As at (0.7807, 0.0000, 0.3205), As at (0.7872, 0.5000, 0.7913) and Pd at (0.3972, 0.0000, 0.2580).



No. 2
## TcAsPtO (GGA-PBE)

Data for an optimized crystal structure of TcAsPtO.

For the total energy, the calculation gives -6.355 eV/atom. As for the crystal system: tetragonal. The value obtained for the density is 11.89 g cm⁻³. The energy above the most stable polymorph in this dataset comes out at 1.32 eV per formula unit. The calculation puts the total moment at 0.006 μB per atom.

The structure belongs to space group P4/nmm (No. 129, origin choice 2); the cell edges are 4.2231, 4.2231 and 6.0157 Å and the angles 90.00°, 90.00° and 90.00°. The asymmetric unit holds Tc at (0.2500, 0.7500, 0.0000), As at (0.2500, 0.2500, 0.2042), Pt at (0.2500, 0.2500, 0.6358) and O at (0.2500, 0.7500, 0.5000).



No. 3
## Sm3InO6 (GGA-PBE)

Data for an optimized crystal structure of Sm3InO6.

For the total energy, the calculation gives -7.598 eV/atom. As for the crystal system: orthorhombic. The value obtained for the density is 7.51 g cm⁻³. The calculation puts the total moment at 0.000 μB per atom.

The structure belongs to space group Cmc2_1 (No. 36); the cell edges are 9.0955, 11.3871 and 5.6491 Å and the angles 90.00°, 90.00° and 90.00°. The asymmetric unit holds Sm at (0.0000, 0.1014, 0.0000), Sm at (0.1948, 0.3942, 0.0529), In at (0.0000, 0.3157, 0.5702), O at (0.0000, 0.2795, 0.2187), O at (0.0000, 0.4747, 0.7604), O at (0.1601, 0.0172, 0.2759) and O at (0.1640, 0.2351, 0.7719).



No. 4
## GdB4 (GGA-PBE)

Data for an optimized crystal structure of GdB4.

For the total energy, the calculation gives -6.875 eV/atom. As for the crystal system: tetragonal. The value obtained for the density is 6.50 g cm⁻³. The calculation puts the total moment at 0.000 μB per atom.

The structure belongs to space group P4/mbm (No. 127); the cell edges are 7.1246, 7.1246 and 4.0363 Å and the angles 90.00°, 90.00° and 90.00°. The asymmetric unit holds Gd at (0.1829, 0.3171, 0.0000), B at (0.0000, 0.0000, 0.2034), B at (0.0385, 0.8241, 0.5000) and B at (0.0872, 0.5872, 0.5000).



- Which of these has the highest total moment?
  TcAsPtO



- Which formula does entry 2 have?
  TcAsPtO



Copy entry 4 word for word.
## GdB4 (GGA-PBE)

Data for an optimized crystal structure of GdB4.

For the total energy, the calculation gives -6.875 eV/atom. As for the crystal system: tetragonal. The value obtained for the density is 6.50 g cm⁻³. The calculation puts the total moment at 0.000 μB per atom.

The structure belongs to space group P4/mbm (No. 127); the cell edges are 7.1246, 7.1246 and 4.0363 Å and the angles 90.00°, 90.00° and 90.00°. The asymmetric unit holds Gd at (0.1829, 0.3171, 0.0000), B at (0.0000, 0.0000, 0.2034), B at (0.0385, 0.8241, 0.5000) and B at (0.0872, 0.5872, 0.5000).